Mg2CoSe: single point on PBEsol structure, SCAN.

Computed properties:
The value obtained for the energy above the most stable polymorph in this dataset is 0 meV per atom. As for the symmetry: Imm2 (44).

The structure in POSCAR format:
```
Mg2CoSe
1.0
-1.684 -1.603 -1.885
-2.191 -1.595 3.314
-1.614 5.745 -1.068
Co Mg Se
1 2 1
Cartesian
-2.746 1.129 1.493
-2.637 1.295 -1.121
-5.085 2.076 0.402
-2.447 -1.004 0.664
```

TlHgSbW2: single point on PBEsol structure, SCAN.

Computed properties:
The value obtained for the total energy is -60.70 eV/atom. As for the symmetry: P4/mmm (123).

The structure in POSCAR format:
```
TlHgSbW2
1.0
-3.538 1.898 -3.202
2.131 -2.589 -3.889
-3.213 -4.220 1.049
Hg Sb Tl W
1 1 1 2
Cartesian
-2.310 -2.455 -3.021
-1.607 -2.110 0.524
0.000 0.000 0.000
1.065 -1.295 -1.945
-1.769 0.949 -1.601
```

LiSbSe2: single point on PBEsol structure, SCAN.

Computed properties:
The value obtained for the total energy is -20.59 eV/atom. As for the symmetry: Cm (8).

The structure in POSCAR format:
```
LiSbSe2
1.0
-1.372 2.655 -2.585
-3.597 -0.143 1.762
2.335 3.176 5.043
Se Sb Li
2 1 1
Cartesian
-1.433 2.146 2.964
0.485 5.726 2.604
-0.204 3.863 1.055
-0.667 4.218 4.686
```

TbTiF6: single point on PBEsol structure, SCAN.

Computed properties:
The value obtained for the total energy is -14.40 eV/atom. As for the symmetry: Fm-3m (225).

The structure in POSCAR format:
```
TbTiF6
1.0
5.852 0.000 0.000
2.926 5.068 0.000
2.926 1.689 4.778
F Tb Ti
6 1 1
Cartesian
5.852 1.602 1.133
7.390 2.490 3.645
7.390 4.267 1.133
4.313 4.267 1.133
5.852 5.155 3.645
4.313 2.490 3.645
5.852 3.378 2.389
0.000 0.000 0.000
```

Te3AuSe: single point on PBEsol structure, SCAN.

Computed properties:
The value obtained for the total energy is -39.52 eV/atom. As for the symmetry: Pm-3m (221).

The structure in POSCAR format:
```
Te3AuSe
1.0
5.305 0.000 0.000
0.000 5.305 0.000
0.000 0.000 5.305
Te Se Au
3 1 1
Cartesian
0.000 2.653 0.000
0.000 0.000 2.653
2.653 0.000 0.000
2.653 2.653 2.653
0.000 0.000 0.000
```

RbScH2N: single point on PBEsol structure, SCAN.

Computed properties:
The value obtained for the total energy is -10.57 eV/atom. As for the symmetry: P4/mmm (123).

The structure in POSCAR format:
```
RbScH2N
1.0
-0.821 -2.981 2.632
3.999 0.218 1.494
-1.238 2.894 2.892
N Rb Sc H
1 1 1 2
Cartesian
-0.410 -1.490 1.316
0.970 0.065 3.509
0.000 0.000 0.000
-0.619 1.447 1.446
2.000 0.109 0.747
```

SrMg2W: single point on PBEsol structure, SCAN.

Computed properties:
For the calculated formation energy, the calculation gives 3.65 eV/f.u. The value obtained for the energy above the most stable polymorph in this dataset is 64 meV per atom. As for the symmetry: Immm (71).

The structure in POSCAR format:
```
SrMg2W
1.0
-0.029 1.730 3.542
-4.817 -1.204 0.548
3.692 -4.414 -0.007
Sr W Mg
1 1 2
Cartesian
-0.015 0.865 1.771
-2.408 -0.602 0.274
-1.845 -1.626 2.973
0.691 -2.261 1.110
```

TiGaP2: single point on PBEsol structure, SCAN.

Computed properties:
For the calculated formation energy, the calculation gives 0.02 eV/f.u. As for the symmetry: Fm-3m (225).

The structure in POSCAR format:
```
TiGaP2
1.0
4.399 0.000 0.000
2.200 3.810 0.000
2.200 1.270 3.592
P Ti Ga
2 1 1
Cartesian
2.200 1.270 0.898
6.599 3.810 2.694
0.000 0.000 0.000
4.399 2.540 1.796
```

Please write out number 3 again, unchanged.
LiSbSe2: single point on PBEsol structure, SCAN.

Computed properties:
The value obtained for the total energy is -20.59 eV/atom. As for the symmetry: Cm (8).

The structure in POSCAR format:
```
LiSbSe2
1.0
-1.372 2.655 -2.585
-3.597 -0.143 1.762
2.335 3.176 5.043
Se Sb Li
2 1 1
Cartesian
-1.433 2.146 2.964
0.485 5.726 2.604
-0.204 3.863 1.055
-0.667 4.218 4.686
```